No. 1
Density functional theory data (PBE) for LiAl2Ag after structural relaxation.

Calculated values
The distance to the lowest polymorph of the same formula comes out at 6 meV per atom. The total moment comes out at 0.00 μB/atom. The energy relative to the elements is -0.13 eV per atom. The calculation puts the density at 4.35 Mg/m³. For the electronic total energy, the calculation gives -3.195 eV per atom.

Lattice parameters (Å, degrees): 3.326 3.326 5.830 90.00 90.00 90.00
Atoms (fractional coordinates):
Al 0.500 0.500 0.259
Al 0.000 0.000 0.996
Ag 0.500 0.500 0.743
Li 0.000 0.000 0.502

No. 2
Density functional theory data (PBE) for BaYNbN3 after structural relaxation.

Calculated values
The total moment comes out at 0.00 μB/atom. The calculation puts the density at 5.77 Mg/m³. For the electronic total energy, the calculation gives -8.179 eV per atom. The formation energy from raw total energies comes out at -0.94 eV per atom.

Lattice parameters (Å, degrees): 4.045 7.145 7.759 104.39 90.00 106.44
Atoms (fractional coordinates):
N 0.507 0.013 0.328
N 0.149 0.298 0.792
N 0.837 0.673 0.648
N 0.163 0.327 0.352
N 0.851 0.702 0.208
N 0.493 0.987 0.672
Y 0.342 0.684 0.425
Y 0.658 0.316 0.575
Ba 0.649 0.298 0.079
Ba 0.351 0.702 0.921
Nb 0.002 0.004 0.305
Nb 0.998 0.996 0.695

No. 3
Density functional theory data (PBE) for MnGaSiRhSe after structural relaxation.

Calculated values
The distance to the lowest polymorph of the same formula comes out at 84 meV per atom. The total moment comes out at 0.00 μB/atom. The calculation puts the density at 7.28 Mg/m³. For the electronic total energy, the calculation gives -5.885 eV per atom. The formation energy from raw total energies comes out at -0.19 eV per atom.

Lattice parameters (Å, degrees): 3.842 3.021 6.570 90.00 90.00 90.00
Atoms (fractional coordinates):
Ga 0.000 0.000 0.162
Si 0.500 0.000 0.858
Rh 0.000 0.500 0.774
Se 0.500 0.500 0.490
Mn 0.500 0.500 0.125

No. 4
Density functional theory data (PBE) for MgSb4Pb after structural relaxation.

Calculated values
The total moment comes out at 0.00 μB/atom. The calculation puts the density at 6.72 Mg/m³. For the electronic total energy, the calculation gives -3.415 eV per atom. The formation energy from raw total energies comes out at 0.22 eV per atom.

Lattice parameters (Å, degrees): 6.309 6.309 6.309 60.00 60.00 60.00
Atoms (fractional coordinates):
Sb 0.375 0.375 0.375
Sb 0.375 0.375 0.874
Sb 0.375 0.874 0.375
Sb 0.874 0.375 0.375
Pb 0.000 0.000 0.000
Mg 0.750 0.750 0.750

No. 5
Density functional theory data (PBE) for BiSN2 after structural relaxation.

Calculated values
The distance to the lowest polymorph of the same formula comes out at 1773 meV per atom. The total moment comes out at 0.00 μB/atom. The calculation puts the density at 8.31 Mg/m³. For the electronic total energy, the calculation gives -4.318 eV per atom. The formation energy from raw total energies comes out at 1.85 eV per atom.

Lattice parameters (Å, degrees): 4.237 4.237 4.237 60.00 60.00 60.00
Atoms (fractional coordinates):
N 0.750 0.750 0.750
N 0.250 0.250 0.250
S 0.000 0.000 0.000
Bi 0.500 0.500 0.500

No. 6
Density functional theory data (PBE) for ReBiIr3 after structural relaxation.

Calculated values
The distance to the lowest polymorph of the same formula comes out at 0 meV per atom. The total moment comes out at 0.00 μB/atom. The energy relative to the elements is 1.34 eV per atom. The calculation puts the density at 14.67 Mg/m³. For the electronic total energy, the calculation gives -7.244 eV per atom.

Lattice parameters (Å, degrees): 4.792 4.792 4.792 90.00 90.00 90.00
Atoms (fractional coordinates):
Bi 0.500 0.500 0.500
Ir 0.000 0.500 0.000
Ir 0.000 0.000 0.500
Ir 0.500 0.000 0.000
Re 0.000 0.000 0.000

No. 7
Density functional theory data (PBE) for P2IrAu after structural relaxation.

Calculated values
The distance to the lowest polymorph of the same formula comes out at 313 meV per atom. The total moment comes out at 0.00 μB/atom. The energy relative to the elements is 0.09 eV per atom. The calculation puts the density at 11.27 Mg/m³. For the electronic total energy, the calculation gives -5.652 eV per atom.

Lattice parameters (Å, degrees): 6.812 6.812 6.812 29.18 29.18 29.18
Atoms (fractional coordinates):
Au 0.250 0.250 0.250
P 0.488 0.488 0.488
P 0.012 0.012 0.012
Ir 0.750 0.750 0.750

No. 8
Density functional theory data (PBE) for LiPrSmHo after structural relaxation.

Calculated values
The total moment comes out at 0.00 μB/atom. The energy relative to the elements is 0.16 eV per atom. The calculation puts the density at 6.26 Mg/m³. For the electronic total energy, the calculation gives -3.838 eV per atom.

Lattice parameters (Å, degrees): 5.579 5.579 5.579 60.00 60.00 60.00
Atoms (fractional coordinates):
Sm 0.250 0.250 0.250
Ho 0.500 0.500 0.500
Li 0.000 0.000 0.000
Pr 0.750 0.750 0.750

No. 9
Density functional theory data (PBE) for Pm4Sm3Al4 after structural relaxation.

Calculated values
The total moment comes out at 0.00 μB/atom. The energy relative to the elements is -0.17 eV per atom. The calculation puts the density at 6.02 Mg/m³. For the electronic total energy, the calculation gives -4.543 eV per atom.

Lattice parameters (Å, degrees): 5.215 6.865 9.781 110.54 105.46 90.00
Atoms (fractional coordinates):
Al 0.500 0.800 0.000
Al 0.828 0.328 0.656
Al 0.172 0.672 0.344
Al 0.500 0.200 0.000
Sm 0.902 0.902 0.805
Sm 0.000 0.500 0.000
Sm 0.098 0.098 0.195
Pm 0.679 0.913 0.357
Pm 0.321 0.556 0.643
Pm 0.321 0.087 0.643
Pm 0.679 0.444 0.357

No. 10
Density functional theory data (PBE) for Na2ReBi after structural relaxation.

Calculated values
The total moment comes out at 0.49 μB/atom. The energy relative to the elements is 1.05 eV per atom. The calculation puts the density at 6.96 Mg/m³. For the electronic total energy, the calculation gives -3.688 eV per atom.

Lattice parameters (Å, degrees): 8.837 8.837 6.805 49.51 49.51 90.00
Last column: magnetic moment on the atom in μB.
Atoms (fractional coordinates):
Na 0.375 0.400 0.750  0.00
Na 0.150 0.625 0.250  0.00
Na 0.600 0.125 0.250  0.00
Na 0.875 0.850 0.750  0.00
Re 0.500 0.500 0.000  1.68
Re 0.250 0.750 0.500  1.68
Bi 0.000 0.000 0.000  -0.09
Bi 0.750 0.250 0.500  -0.09

No. 11
Density functional theory data (PBE) for Tb3Zn2Ga after structural relaxation.

Calculated values
The distance to the lowest polymorph of the same formula comes out at 0 meV per atom. The total moment comes out at 0.00 μB/atom. The energy relative to the elements is -0.42 eV per atom. The calculation puts the density at 8.11 Mg/m³. For the electronic total energy, the calculation gives -3.668 eV per atom.

Lattice parameters (Å, degrees): 5.070 5.070 6.228 90.00 90.00 120.00
Atoms (fractional coordinates):
Zn 0.667 0.333 0.344
Zn 0.333 0.667 0.656
Tb 0.000 0.000 0.500
Tb 0.667 0.333 0.833
Tb 0.333 0.667 0.167
Ga 0.000 0.000 0.000

No. 12
Density functional theory data (PBE) for Dy2Y3TmSe6 after structural relaxation.

Calculated values
The total moment comes out at 0.00 μB/atom. The calculation puts the density at 7.16 Mg/m³. For the electronic total energy, the calculation gives -6.240 eV per atom. The formation energy from raw total energies comes out at -1.74 eV per atom.

Lattice parameters (Å, degrees): 4.059 8.176 9.097 103.10 102.89 90.00
Atoms (fractional coordinates):
Y 0.832 0.167 0.663
Y 0.168 0.833 0.337
Y 0.500 0.500 0.000
Se 0.334 0.418 0.667
Se 0.664 0.082 0.328
Se 0.000 0.245 0.000
Se 0.336 0.918 0.672
Se 0.000 0.755 0.000
Se 0.666 0.582 0.333
Dy 0.168 0.335 0.336
Dy 0.832 0.665 0.664
Tm 0.500 0.000 0.000

No. 13
Density functional theory data (PBE) for Y3PdO6 after structural relaxation.

Calculated values
The distance to the lowest polymorph of the same formula comes out at 0 meV per atom. The total moment comes out at 0.10 μB/atom. The calculation puts the density at 5.33 Mg/m³. For the electronic total energy, the calculation gives -8.135 eV per atom. The formation energy from raw total energies comes out at -2.70 eV per atom.

Lattice parameters (Å, degrees): 6.642 6.642 6.642 92.53 92.53 92.53
Last column: magnetic moment on the atom in μB.
Atoms (fractional coordinates):
O 0.896 0.067 0.324  0.09
O 0.798 0.466 0.588  0.00
O 0.933 0.676 0.104  0.09
O 0.588 0.798 0.466  0.00
O 0.412 0.202 0.534  0.00
O 0.324 0.896 0.067  0.09
O 0.104 0.933 0.676  0.09
O 0.534 0.412 0.202  0.00
O 0.676 0.104 0.933  0.09
O 0.466 0.588 0.798  0.00
O 0.202 0.534 0.412  0.00
O 0.067 0.324 0.896  0.09
Y 0.928 0.749 0.437  0.01
Y 0.437 0.928 0.749  0.01
Y 0.563 0.072 0.251  0.01
Y 0.749 0.437 0.928  0.01
Y 0.251 0.563 0.072  0.01
Y 0.072 0.251 0.563  0.01
Pd 0.500 0.500 0.500  0.02
Pd 0.000 0.000 0.000  1.25

No. 14
Density functional theory data (PBE) for SrMo2Br after structural relaxation.

Calculated values
The distance to the lowest polymorph of the same formula comes out at 0 meV per atom. The total moment comes out at 0.00 μB/atom. The calculation puts the density at 6.44 Mg/m³. For the electronic total energy, the calculation gives -6.171 eV per atom. The formation energy from raw total energies comes out at 0.08 eV per atom.

Lattice parameters (Å, degrees): 3.328 3.418 8.268 80.12 90.00 90.00
Atoms (fractional coordinates):
Mo 0.500 0.194 0.192
Mo 0.000 0.802 0.056
Br 0.500 0.946 0.759
Sr 0.000 0.557 0.492

No. 15
Density functional theory data (PBE) for RbCdSe2N after structural relaxation.

Calculated values
The distance to the lowest polymorph of the same formula comes out at 1195 meV per atom. The total moment comes out at 0.31 μB/atom. The calculation puts the density at 3.91 Mg/m³. For the electronic total energy, the calculation gives -1.740 eV per atom. The formation energy from raw total energies comes out at 1.70 eV per atom.

Lattice parameters (Å, degrees): 6.039 6.039 4.304 90.00 90.00 90.00
Last column: magnetic moment on the atom in μB.
Atoms (fractional coordinates):
Se 0.000 0.500 0.000  0.51
Se 0.500 0.000 0.000  0.51
Rb 0.000 0.000 0.000  0.04
N 0.000 0.000 0.500  -0.03
Cd 0.500 0.500 0.500  -0.04

No. 16
Density functional theory data (PBE) for Pu2Ga5Ir after structural relaxation.

Calculated values
The total moment comes out at 1.28 μB/atom. The energy relative to the elements is -0.32 eV per atom. The calculation puts the density at 11.27 Mg/m³. For the electronic total energy, the calculation gives -6.905 eV per atom.

Lattice parameters (Å, degrees): 6.051 6.051 6.051 86.53 122.02 122.02
Last column: magnetic moment on the atom in μB.
Atoms (fractional coordinates):
Ga 0.500 0.278 0.278  0.02
Ga 0.500 0.778 0.778  0.02
Ga 0.000 0.278 0.278  0.02
Ga 0.000 0.778 0.278  0.02
Ga 0.000 0.278 0.778  0.02
Pu 0.500 0.278 0.778  5.01
Pu 0.500 0.778 0.278  5.01
Ir 0.000 0.778 0.778  -0.33

No. 17
Density functional theory data (PBE) for BeTeAu after structural relaxation.

Calculated values
The distance to the lowest polymorph of the same formula comes out at 72 meV per atom. The total moment comes out at 0.00 μB/atom. The calculation puts the density at 9.52 Mg/m³. For the electronic total energy, the calculation gives -3.225 eV per atom. The formation energy from raw total energies comes out at 0.16 eV per atom.

Lattice parameters (Å, degrees): 3.376 3.376 5.894 90.00 90.00 120.00
Atoms (fractional coordinates):
Te 0.667 0.333 0.625
Au 0.000 0.000 0.074
Be 0.333 0.667 0.301

No. 18
Density functional theory data (PBE) for VSiAsBr2 after structural relaxation.

Calculated values
The distance to the lowest polymorph of the same formula comes out at 239 meV per atom. The total moment comes out at 0.57 μB/atom. The calculation puts the density at 4.14 Mg/m³. For the electronic total energy, the calculation gives -3.863 eV per atom. The formation energy from raw total energies comes out at 0.64 eV per atom.

Lattice parameters (Å, degrees): 4.978 4.978 5.082 90.00 90.00 90.00
Last column: magnetic moment on the atom in μB.
Atoms (fractional coordinates):
V 0.500 0.500 0.500  2.98
Br 0.500 0.000 0.000  -0.03
Br 0.000 0.500 0.000  -0.03
Si 0.000 0.000 0.000  -0.01
As 0.000 0.000 0.500  -0.26

No. 19
Density functional theory data (PBE) for TiTlZn2 after structural relaxation.

Calculated values
The distance to the lowest polymorph of the same formula comes out at 311 meV per atom. The total moment comes out at 0.23 μB/atom. The energy relative to the elements is 0.30 eV per atom. The calculation puts the density at 8.01 Mg/m³. For the electronic total energy, the calculation gives -2.899 eV per atom.

Lattice parameters (Å, degrees): 7.472 7.472 6.000 51.49 51.49 90.00
Last column: magnetic moment on the atom in μB.
Atoms (fractional coordinates):
Zn 0.875 0.867 0.750  0.01
Zn 0.375 0.383 0.750  0.01
Zn 0.133 0.625 0.250  0.01
Zn 0.617 0.125 0.250  0.01
Ti 0.500 0.500 0.000  0.68
Ti 0.250 0.750 0.500  0.66
Tl 0.750 0.250 0.500  0.02
Tl 0.000 0.000 0.000  0.02

No. 20
Density functional theory data (PBE) for LaCe4N5 after structural relaxation.

Calculated values
The total moment comes out at 0.13 μB/atom. The calculation puts the density at 7.69 Mg/m³. For the electronic total energy, the calculation gives -8.476 eV per atom. The formation energy from raw total energies comes out at -1.45 eV per atom.

Lattice parameters (Å, degrees): 3.615 3.615 12.960 98.02 98.02 90.00
Last column: magnetic moment on the atom in μB.
Atoms (fractional coordinates):
La 0.000 0.000 0.000  0.03
Ce 0.398 0.398 0.796  0.34
Ce 0.799 0.799 0.599  0.23
Ce 0.201 0.201 0.401  0.23
Ce 0.602 0.602 0.204  0.34
N 0.700 0.700 0.400  -0.02
N 0.896 0.896 0.791  -0.02
N 0.104 0.104 0.209  -0.02
N 0.300 0.300 0.600  -0.02
N 0.500 0.500 0.000  -0.01

No. 21
Density functional theory data (PBE) for ZrSb2IBr after structural relaxation.

Calculated values
The distance to the lowest polymorph of the same formula comes out at 964 meV per atom. The total moment comes out at 0.17 μB/atom. The calculation puts the density at 5.47 Mg/m³. For the electronic total energy, the calculation gives -3.030 eV per atom. The formation energy from raw total energies comes out at 0.97 eV per atom.

Lattice parameters (Å, degrees): 5.483 5.483 5.464 90.00 90.00 90.00
Last column: magnetic moment on the atom in μB.
Atoms (fractional coordinates):
I 0.000 0.000 0.500  -0.04
Zr 0.500 0.500 0.500  0.86
Sb 0.500 0.000 0.000  -0.09
Sb 0.000 0.500 0.000  -0.09
Br 0.000 0.000 0.000  0.00